[1]
HClF2 (PBE, relaxed); excess energy over the best structure of this formula in the dataset = 1738 meV per atom; DOS at the Fermi energy = 5.5 states/eV/cell
1.0
0.000 2.870 2.870
2.870 0.000 2.870
2.870 2.870 0.000
F H Cl
2 1 1
Direct
0.750 0.750 0.750
0.250 0.250 0.250
0.000 0.000 0.000
0.500 0.500 0.500

=====

[2]
HClF3 (PBE, relaxed); excess energy over the best structure of this formula in the dataset = 945 meV per atom; DOS at the Fermi energy = 3.6 states/eV/cell
1.0
-0.011 3.395 2.334
-2.093 -2.015 2.921
3.549 -1.178 1.730
Cl F H
1 3 1
Direct
0.000 0.000 0.000
0.000 0.500 0.000
0.000 0.000 0.500
0.500 0.000 0.000
0.500 0.500 0.500

=====

[3]
HClF2 (PBE, relaxed); excess energy over the best structure of this formula in the dataset = 917 meV per atom; DOS at the Fermi energy = 5.0 states/eV/cell
1.0
-2.045 3.246 2.705
1.526 -2.235 3.836
2.793 2.481 3.208
H F Cl
2 4 2
Direct
0.500 0.500 0.000
0.250 0.750 0.500
0.375 0.686 0.750
0.314 0.125 0.250
0.875 0.564 0.750
0.436 0.625 0.250
0.000 0.000 0.000
0.750 0.250 0.500

=====

[4]
HClF2 (PBE, relaxed); excess energy over the best structure of this formula in the dataset = 501 meV per atom; DOS at the Fermi energy = 1.2 states/eV/cell
1.0
-5.221 -3.137 1.562
-3.251 -3.542 4.053
-4.953 -0.844 3.780
Cl H F
1 1 2
Direct
0.500 0.500 0.500
0.000 0.000 0.000
0.064 0.064 0.064
0.936 0.936 0.936

=====

[5]
HCl2F (PBE, relaxed); excess energy over the best structure of this formula in the dataset = 270 meV per atom; DOS at the Fermi energy = 0.0 states/eV/cell
1.0
4.257 -0.216 0.511
-0.253 7.499 0.119
-1.177 -2.005 5.582
H Cl F
2 4 2
Direct
0.141 0.411 0.164
0.210 0.897 0.969
0.845 0.939 0.197
0.406 0.405 0.285
0.452 0.878 0.842
0.729 0.415 0.949
0.946 0.428 0.724
0.111 0.977 0.437

=====

[6]
HCl3F2 (PBE, relaxed); energy = -2.4938 eV/atom; DOS at the Fermi energy = 0.0 states/eV/cell
1.0
1.845 -3.213 -4.878
5.414 -1.051 -2.667
3.396 -9.549 3.854
F Cl H
4 6 2
Direct
0.285 0.994 0.891
0.715 0.006 0.109
0.994 0.285 0.391
0.006 0.715 0.609
0.349 0.026 0.448
0.026 0.349 0.948
0.974 0.651 0.052
0.638 0.362 0.750
0.651 0.974 0.552
0.362 0.638 0.250
0.635 0.365 0.250
0.365 0.635 0.750

=====

[7]
HCl2F (PBE, relaxed); excess energy over the best structure of this formula in the dataset = 1080 meV per atom; DOS at the Fermi energy = 2.4 states/eV/cell
1.0
4.740 0.000 0.000
0.000 4.740 0.000
2.370 2.370 5.589
Cl H F
4 2 2
Direct
0.875 0.718 0.750
0.468 0.125 0.250
0.375 0.532 0.750
0.282 0.625 0.250
0.250 0.750 0.500
0.500 0.500 0.000
0.750 0.250 0.500
0.000 0.000 0.000

=====

[8]
HCl2F (PBE, relaxed); excess energy over the best structure of this formula in the dataset = 0 meV per atom; DOS at the Fermi energy = 0.0 states/eV/cell
1.0
5.564 -1.663 -1.752
-3.996 5.788 2.804
-5.865 2.611 10.045
Cl F H
4 2 2
Direct
0.047 0.224 0.050
0.953 0.776 0.950
0.815 0.393 0.779
0.185 0.607 0.221
0.500 0.000 0.500
0.000 0.500 0.500
0.751 0.252 0.499
0.249 0.748 0.501

=====

Question: What is the formula in the fifth record?
Answer: HCl2F

=====

Question: Number 8 is which compound?
Answer: HCl2F